# 1
This record from Alexandria via LeMat-Bulk describes a geometry-optimized CeNp2O11 structure. The functional is PBE.

Computed properties:
**Formation energy from raw total energies**: -2.15 eV/atom
**Uncorrected energy**: -232.910 eV/cell
**Space-group type**: P1, No. 1

Lattice parameters (Å, degrees): 8.273 8.289 8.534 98.99 115.21 113.53
Fractional coordinates of all 28 atoms:
Ce 0.000 0.000 0.000
Ce 0.000 0.500 0.500
Np 0.044 0.021 0.522
Np 0.501 0.978 0.022
Np 0.503 0.539 0.469
Np 0.931 0.465 0.968
O 0.029 0.022 0.296
O 0.059 0.797 0.480
O 0.064 0.262 0.577
O 0.071 0.026 0.753
O 0.271 0.765 0.800
O 0.292 0.556 0.505
O 0.299 0.307 0.262
O 0.310 0.638 0.203
O 0.319 0.018 0.080
O 0.456 0.203 0.691
O 0.489 0.736 0.191
O 0.564 0.217 0.881
O 0.565 0.395 0.704
O 0.665 0.818 0.382
O 0.679 0.919 0.976
O 0.712 0.500 0.440
O 0.713 0.754 0.691
O 0.730 0.183 0.251
O 0.938 0.481 0.191
O 0.940 0.228 0.942
O 0.951 0.457 0.758
O 0.952 0.713 0.002


# 2
This record from Alexandria via LeMat-Bulk describes a geometry-optimized Na2Sn2Se5 structure. The functional is PBE.

Computed properties:
**Formation energy from raw total energies**: -0.63 eV/atom
**Uncorrected energy**: -269.641 eV/cell
**Space-group type**: Pbca, No. 61
**Excess energy over the best structure of this formula in the dataset**: 0 meV/atom

Lattice parameters (Å, degrees): 11.867 14.260 12.653 90.00 90.00 90.00
Fractional coordinates of all 72 atoms:
Na 0.005 0.238 0.001
Na 0.005 0.262 0.501
Na 0.250 0.213 0.745
Na 0.250 0.287 0.245
Na 0.250 0.713 0.745
Na 0.250 0.787 0.245
Na 0.495 0.738 0.001
Na 0.495 0.762 0.501
Na 0.505 0.238 0.499
Na 0.505 0.262 0.999
Na 0.750 0.213 0.755
Na 0.750 0.287 0.255
Na 0.750 0.713 0.755
Na 0.750 0.787 0.255
Na 0.995 0.738 0.499
Na 0.995 0.762 0.999
Sn 0.056 0.054 0.281
Sn 0.056 0.446 0.781
Sn 0.236 0.528 0.032
Sn 0.236 0.972 0.532
Sn 0.264 0.028 0.032
Sn 0.264 0.472 0.532
Sn 0.444 0.554 0.281
Sn 0.444 0.946 0.781
Sn 0.556 0.054 0.219
Sn 0.556 0.446 0.719
Sn 0.736 0.528 0.468
Sn 0.736 0.972 0.968
Sn 0.764 0.028 0.468
Sn 0.764 0.472 0.968
Sn 0.944 0.554 0.219
Sn 0.944 0.946 0.719
Se 0.002 0.221 0.252
Se 0.002 0.279 0.752
Se 0.071 0.065 0.620
Se 0.071 0.435 0.120
Se 0.093 0.555 0.621
Se 0.093 0.945 0.121
Se 0.241 0.701 0.001
Se 0.241 0.799 0.501
Se 0.243 0.570 0.361
Se 0.243 0.930 0.861
Se 0.257 0.070 0.361
Se 0.257 0.430 0.861
Se 0.259 0.201 0.001
Se 0.259 0.299 0.501
Se 0.407 0.055 0.621
Se 0.407 0.445 0.121
Se 0.429 0.565 0.620
Se 0.429 0.935 0.120
Se 0.498 0.721 0.252
Se 0.498 0.779 0.752
Se 0.502 0.221 0.248
Se 0.502 0.279 0.748
Se 0.571 0.065 0.880
Se 0.571 0.435 0.380
Se 0.593 0.555 0.879
Se 0.593 0.945 0.379
Se 0.741 0.701 0.499
Se 0.741 0.799 0.999
Se 0.743 0.570 0.139
Se 0.743 0.930 0.639
Se 0.757 0.070 0.139
Se 0.757 0.430 0.639
Se 0.759 0.201 0.499
Se 0.759 0.299 0.999
Se 0.907 0.055 0.879
Se 0.907 0.445 0.379
Se 0.929 0.565 0.880
Se 0.929 0.935 0.380
Se 0.998 0.721 0.248
Se 0.998 0.779 0.748


# 3
This record from Alexandria via LeMat-Bulk describes a geometry-optimized FeAg2Pt2 structure. The functional is PBE.

Computed properties:
**Uncorrected energy**: -47.933 eV/cell
**Space-group type**: P4/mbm, No. 127
**DFT formation energy**: 0.46 eV per atom
**Excess energy over the best structure of this formula in the dataset**: 270 meV/atom

Lattice parameters (Å, degrees): 7.858 7.858 2.828 90.00 90.00 90.00
Fractional coordinates of all 10 atoms:
Fe 0.000 0.000 0.000
Fe 0.500 0.500 0.000
Ag 0.124 0.376 0.000
Ag 0.376 0.876 0.000
Ag 0.624 0.124 0.000
Ag 0.876 0.624 0.000
Pt 0.175 0.675 0.500
Pt 0.325 0.175 0.500
Pt 0.675 0.825 0.500
Pt 0.825 0.325 0.500


# 4
This record from Alexandria via LeMat-Bulk describes a geometry-optimized LiAc2SnO5 structure. The functional is PBE.

Computed properties:
**Formation energy from raw total energies**: -2.18 eV/atom
**Uncorrected energy**: -117.134 eV/cell
**Space-group type**: P4/mbm, No. 127

Lattice parameters (Å, degrees): 7.203 7.203 6.306 90.00 90.00 90.00
Fractional coordinates of all 18 atoms:
Li 0.000 0.000 0.000
Li 0.500 0.500 0.000
Ac 0.181 0.319 0.500
Ac 0.319 0.819 0.500
Ac 0.681 0.181 0.500
Ac 0.819 0.681 0.500
Sn 0.000 0.500 0.000
Sn 0.500 0.000 0.000
O 0.000 0.000 0.500
O 0.138 0.638 0.248
O 0.138 0.638 0.752
O 0.362 0.138 0.248
O 0.362 0.138 0.752
O 0.500 0.500 0.500
O 0.638 0.862 0.248
O 0.638 0.862 0.752
O 0.862 0.362 0.248
O 0.862 0.362 0.752


# 5
This record from Alexandria via LeMat-Bulk describes a geometry-optimized Sr2LiIn3Pt4 structure. The functional is PBE.

Computed properties:
**Uncorrected energy**: -44.369 eV/cell
**Space-group type**: P-4m2, No. 115
**DFT formation energy**: -0.67 eV per atom

Lattice parameters (Å, degrees): 4.311 4.311 12.124 90.00 90.00 90.00
Fractional coordinates of all 10 atoms:
Sr 0.000 0.500 0.238
Sr 0.500 0.000 0.762
Li 0.500 0.500 0.000
In 0.000 0.000 0.000
In 0.000 0.500 0.635
In 0.500 0.000 0.365
Pt 0.000 0.000 0.500
Pt 0.000 0.500 0.859
Pt 0.500 0.000 0.141
Pt 0.500 0.500 0.500


# 6
This record from Alexandria via LeMat-Bulk describes a geometry-optimized K3Ac3SnSe8 structure. The functional is PBE.

Computed properties:
**Formation energy from raw total energies**: -1.47 eV/atom
**Uncorrected energy**: -69.607 eV/cell
**Space-group type**: R-3m, No. 166

Lattice parameters (Å, degrees): 9.402 9.402 9.402 56.64 56.64 56.64
Fractional coordinates of all 15 atoms:
K 0.000 0.500 0.500
K 0.500 0.000 0.500
K 0.500 0.500 0.000
Ac 0.000 0.000 0.500
Ac 0.000 0.500 0.000
Ac 0.500 0.000 0.000
Sn 0.500 0.500 0.500
Se 0.239 0.239 0.239
Se 0.268 0.717 0.717
Se 0.283 0.283 0.732
Se 0.283 0.732 0.283
Se 0.717 0.268 0.717
Se 0.717 0.717 0.268
Se 0.732 0.283 0.283
Se 0.761 0.761 0.761